# KBeCoF6

KBeCoF6 after structural relaxation (PBE with a Hubbard U, Alexandria via LeMat-Bulk).

Computed properties:
The total magnetization is 0.2 Bohr magnetons per cell. The symmetry is P-31c, No. 163. As for the crystal system: trigonal. The calculation puts the total energy at -4.8285 eV per atom.

a = 4.8298 Å, b = 4.8298 Å, c = 11.7770 Å
α = 90.00°, β = 90.00°, γ = 120.00°
Last column: magnetic moment on the atom in μB.
Fractional positions:
F 0.9863 0.6201 0.3355  0.01
Be 0.3333 0.6667 0.7500  0.00
F 0.6201 0.6338 0.6645  0.01
F 0.6201 0.9863 0.8355  0.01
F 0.6338 0.0137 0.3355  0.01
F 0.0137 0.6338 0.8355  0.01
F 0.6338 0.6201 0.1645  0.01
F 0.0137 0.3799 0.6645  0.01
F 0.3799 0.0137 0.1645  0.01
K 0.0000 0.0000 0.5000  0.00
K 0.0000 0.0000 0.0000  0.00
Co 0.3333 0.6667 0.2500  0.07
Co 0.6667 0.3333 0.7500  0.07
F 0.3662 0.9863 0.6645  0.01
F 0.9863 0.3662 0.1645  0.01
F 0.3662 0.3799 0.8355  0.01
Be 0.6667 0.3333 0.2500  0.00
F 0.3799 0.3662 0.3355  0.01